Record 1
LiNdCu11 | PBE | relaxed

Geometry as extended XYZ:
```
13
Lattice="-1.871 -2.355 3.784 3.344 1.257 5.517 -4.540 3.487 3.013" Properties=species:S:1:pos:R:3 pbc="T T T"
Li 0.737 -0.549 4.651
Cu -0.767 0.435 2.983
Cu -2.270 1.744 1.507
Cu -3.206 0.566 3.398
Cu -1.332 -0.272 8.399
Cu -2.300 1.955 9.331
Cu -1.735 2.661 3.916
Cu 0.611 0.576 6.825
Cu -1.659 0.174 5.493
Cu -1.408 2.215 6.822
Cu 1.672 0.629 2.759
Cu -3.678 1.814 5.490
Nd 0.000 0.000 0.000
```

Properties
final energy	-4.0435	eV per atom
formation energy	-64	meV/atom
space group	C2/m, No. 12

Record 2
CaTc2W | PBE | relaxed

Geometry as extended XYZ:
```
4
Lattice="-5.267 1.343 0.665 -5.172 -0.816 -1.606 -2.474 -2.915 2.668" Properties=species:S:1:pos:R:3 pbc="T T T"
Tc -2.621 -2.854 2.604
Tc -9.719 -1.778 1.281
W -6.269 -1.273 0.947
Ca -3.236 -0.594 0.429
```

Properties
final energy	-8.4231	eV per atom
ΔE to the lowest computed polymorph	199	meV/atom
formation energy	499	meV/atom
space group	Imm2, No. 44

Record 3
KBeAs | PBE | relaxed

Geometry as extended XYZ:
```
3
Lattice="5.278 0.000 0.000 0.000 3.895 0.000 0.000 -1.948 3.373" Properties=species:S:1:pos:R:3 pbc="T T T"
K 3.519 1.948 1.124
Be 0.879 0.000 2.249
As 0.879 0.000 0.000
```

Properties
final energy	-3.5528	eV per atom
formation energy	-395	meV/atom
space group	P-6m2, No. 187

Record 4
NiPb | PBE | relaxed

Geometry as extended XYZ:
```
16
Lattice="5.765 0.000 0.000 0.000 6.721 0.000 0.000 0.000 8.096" Properties=species:S:1:pos:R:3 pbc="T T T"
Pb 3.565 5.323 5.321
Pb 0.815 5.610 7.388
Pb 0.682 4.758 2.775
Pb 2.067 1.111 3.339
Pb 5.083 1.397 1.273
Pb 4.949 2.250 4.757
Pb 3.698 4.471 0.709
Pb 2.200 1.963 6.823
Ni 1.594 2.764 1.252
Ni 1.289 3.957 5.301
Ni 5.589 3.094 7.327
Ni 4.476 0.597 6.844
Ni 4.171 6.124 2.796
Ni 3.059 3.627 3.279
Ni 0.176 6.455 4.817
Ni 2.706 0.266 0.769
```

Properties
final energy	-4.5579	eV per atom
formation energy	187	meV/atom
space group	P2_12_12_1, No. 19

Taking the records one at a time from the top gives M_tot values of 0.0; 0.0; 0.0; 0.0 μB per cell.